(1)
Tl2AgMoRu PBEsol optimized geometry; energy of formation = 1.9462 eV/atom; D(E_F) = 9.024 states/eV/cell; space group = No. 123; calculated density = 9.06 g/cm³
1.0
-3.4057 -0.1156 -3.4934
-1.9883 -4.3030 2.0807
-3.1295 2.8753 2.9558
Ru Tl Mo Ag
1 2 1 1
Direct
0.5000 0.5000 0.5000
0.0000 0.0000 0.5000
0.0000 0.5000 0.0000
0.0000 0.0000 0.0000
0.5000 0.0000 0.0000


(2)
CaTcW PBEsol optimized geometry; energy of formation = 0.6435 eV/atom; D(E_F) = 3.303 states/eV/cell; space group = No. 42; calculated density = 10.00 g/cm³; offset from the most stable computed form = 0.000 eV/atom
1.0
-2.0970 1.8193 0.5015
0.9484 -1.1612 2.3898
5.3711 5.0096 -0.7553
Ca Tc W
1 1 1
Direct
0.0041 0.0041 0.0082
0.6793 0.6793 0.3587
0.3166 0.3166 0.6331


(3)
LaTlRe2 PBEsol optimized geometry; energy of formation = 0.8801 eV/atom; D(E_F) = 3.768 states/eV/cell; space group = No. 216; calculated density = 15.00 g/cm³; offset from the most stable computed form = 0.000 eV/atom
1.0
4.8212 0.0000 0.0000
2.4106 4.1753 0.0000
2.4106 1.3918 3.9365
La Re Tl
1 2 1
Direct
0.5000 0.5000 0.5000
0.0000 0.0000 0.0000
0.2500 0.2500 0.2500
0.7500 0.7500 0.7500


(4)
Na5Tm4Si4O16F PBEsol optimized geometry; D(E_F) = 0.000 states/eV/cell; space group = No. 82; calculated density = 5.62 g/cm³; energy relative to the elements, uncorrected = -8665 kJ/mol of formula units
1.0
-2.4220 -2.9925 3.7180
-5.2644 -5.3942 -3.9189
4.7275 -6.9268 1.3565
Na Tm Si O F
5 4 4 16 1
Direct
0.5978 0.5145 0.3056
0.4179 0.4855 0.6944
0.0966 0.3056 0.4855
0.8877 0.6944 0.5145
0.0000 0.0000 0.0000
0.6397 0.0661 0.7043
0.4101 0.9339 0.2957
0.6560 0.7043 0.9339
0.2942 0.2957 0.0661
0.7415 0.1419 0.3519
0.2353 0.8581 0.6481
0.9066 0.3519 0.8581
0.1166 0.6481 0.1419
0.6253 0.2775 0.5018
0.4046 0.7225 0.4982
0.8729 0.5018 0.7225
0.0972 0.4982 0.2775
0.0516 0.1355 0.2336
0.4207 0.8645 0.7664
0.7148 0.2336 0.8645
0.8129 0.7664 0.1355
0.5353 0.1722 0.2369
0.9444 0.8278 0.7631
0.2278 0.2369 0.8278
0.2925 0.7631 0.1722
0.7183 0.9649 0.4438
0.1269 0.0351 0.5562
0.8379 0.4438 0.0351
0.3168 0.5562 0.9649
0.5000 0.0000 0.0000


(5)
Ca4MgHg PBEsol optimized geometry; energy of formation = 0.2664 eV/atom; D(E_F) = 7.028 states/eV/cell; space group = No. 216; calculated density = 3.03 g/cm³
1.0
-1.4040 -6.5318 -0.0376
1.4792 -3.7039 -5.3600
4.9459 -4.4817 0.2981
Ca Hg Mg
4 1 1
Direct
0.3750 0.3750 0.3750
0.3750 0.3750 0.8750
0.8750 0.3750 0.3750
0.3750 0.8750 0.3750
0.7500 0.7500 0.7500
0.0000 0.0000 0.0000


(6)
NaY2Au2 PBEsol optimized geometry; energy of formation = -0.1671 eV/atom; D(E_F) = 4.647 states/eV/cell; space group = No. 139; calculated density = 7.08 g/cm³; offset from the most stable computed form = 0.455 eV/atom
1.0
4.3363 0.0000 0.0000
0.0000 4.3363 0.0000
-2.1682 -2.1682 7.4215
Y Na Au
2 1 2
Direct
0.3748 0.3748 0.7495
0.6252 0.6252 0.2505
0.0000 0.0000 0.0000
0.2500 0.7500 0.5000
0.7500 0.2500 0.5000